No. 1
A plane-wave DFT calculation with meta-GGA SCAN was carried out for a crystal of LaScNb3 relaxed with PBEsol.

Cell: 4.8791 4.8791 4.8791 Å, 90.00 90.00 90.00°
Positions (direct):
Nb (0.0000, 0.0000, 0.5000)
La (0.0000, 0.0000, 0.0000)
Nb (0.5000, 0.0000, 0.0000)
Nb (0.0000, 0.5000, 0.0000)
Sc (0.5000, 0.5000, 0.5000)

## Properties
Space group: No. 221
Fermi-level density of states in states/eV/f.u.: 5.81



No. 2
A plane-wave DFT calculation with meta-GGA SCAN was carried out for a crystal of LaNbSe2 relaxed with PBEsol.

Cell: 3.4359 3.4359 9.6217 Å, 79.71 79.71 60.00°
Positions (direct):
La (0.0000, 0.0000, 0.0000)
Nb (0.5000, 0.5000, 0.5000)
Se (0.8938, 0.8938, 0.3187)
Se (0.1062, 0.1062, 0.6813)

## Properties
Space group: No. 166
Fermi-level density of states in states/eV/f.u.: 2.89
Energy relative to the elements, uncorrected in eV/atom: -0.74



Number 1: E_tot -149.223 eV per formula unit. Number 2: E_tot -119.356 eV per formula unit.